P | SrSmInAg, optimized geometry, DFT PBE; SG = F-43m (216)
1.0
0.0000 3.8798 3.8798
3.8798 0.0000 3.8798
3.8798 3.8798 0.0000
Sr Sm In Ag
1 1 1 1
direct
0.0000 0.0000 0.0000
0.5000 0.5000 0.5000
0.2500 0.2500 0.2500
0.7500 0.7500 0.7500

***

Q | SrSmInAg, optimized geometry, DFT PBE; SG = P4mm (99)
1.0
3.8167 0.0000 0.0000
0.0000 3.8167 0.0000
0.0000 0.0000 8.0500
Sr Sm In Ag
1 1 1 1
direct
0.0000 0.0000 0.0000
0.0000 0.0000 0.5238
0.5000 0.5000 0.2825
0.5000 0.5000 0.7308

***

Relative energies, unit meV per atom: P 40; Q 0

***

P | SmTmInAg, optimized geometry, DFT PBE; SG = P4mm (99)
1.0
3.6333 0.0000 0.0000
0.0000 3.6333 0.0000
0.0000 0.0000 7.7647
Sm Tm In Ag
1 1 1 1
direct
0.0000 0.0000 0.0000
0.0000 0.0000 0.5272
0.5000 0.5000 0.2713
0.5000 0.5000 0.7380

***

Q | SmTmInAg, optimized geometry, DFT PBE; SG = F-43m (216)
1.0
0.0000 3.7296 3.7296
3.7296 0.0000 3.7296
3.7296 3.7296 0.0000
Sm Tm In Ag
1 1 1 1
direct
0.0000 0.0000 0.0000
0.5000 0.5000 0.5000
0.7500 0.7500 0.7500
0.2500 0.2500 0.2500

***

Relative energies, unit meV per atom: P 0; Q 15

***

P | InAg2Sn, optimized geometry, DFT PBE; SG = Pm (6)
1.0
3.5855 0.0000 0.0000
0.0000 4.5750 0.0000
-1.7952 0.0000 5.3982
In Ag Sn
1 2 1
direct
0.0000 0.0000 0.0000
0.5703 0.5000 0.1406
0.7286 0.0000 0.4645
0.2990 0.5000 0.6053

***

Q | InAg2Sn, optimized geometry, DFT PBE; SG = P4/mmm (123)
1.0
3.5004 0.0000 0.0000
0.0000 3.5004 0.0000
0.0000 0.0000 7.1989
In Ag Sn
1 2 1
direct
0.0000 0.0000 0.0000
0.5000 0.5000 0.2440
0.5000 0.5000 0.7560
0.0000 0.0000 0.5000

***

R | InAg2Sn, optimized geometry, DFT PBE; SG = Fm-3m (225)
1.0
0.0000 3.5384 3.5384
3.5384 0.0000 3.5384
3.5384 3.5384 0.0000
In Ag Sn
1 2 1
direct
0.0000 0.0000 0.0000
0.2500 0.2500 0.2500
0.7500 0.7500 0.7500
0.5000 0.5000 0.5000

***

Relative energies, unit meV per atom: P 0; Q 45; R 60

***

P | InAg2Sn, optimized geometry, DFT PBE; SG = Cm (8)
1.0
2.9837 -1.5993 0.0000
2.9837 1.5993 0.0000
-1.4060 0.0000 9.2612
In Ag Sn
1 2 1
direct
0.0000 0.0000 0.0000
0.3946 0.3946 0.2454
0.5996 0.5996 0.7548
0.1564 0.1564 0.4969

***

Q | InAg2Sn, optimized geometry, DFT PBE; SG = P4/mmm (123)
1.0
4.4929 0.0000 0.0000
0.0000 4.4929 0.0000
0.0000 0.0000 4.3217
In Ag Sn
1 2 1
direct
0.0000 0.0000 0.0000
0.0000 0.5000 0.5000
0.5000 0.0000 0.5000
0.5000 0.5000 0.0000

***

Relative energies, unit meV per atom: P 7; Q 0

***

P | InAg2Sn, optimized geometry, DFT PBE; SG = I-42d (122)
1.0
-3.9634 3.9634 3.0406
3.9634 -3.9634 3.0406
3.9634 3.9634 -3.0406
In Ag Sn
2 4 2
direct
0.0000 0.0000 0.0000
0.7500 0.2500 0.5000
0.1257 0.6250 0.0007
0.3750 0.3757 0.5007
0.6243 0.1250 0.9993
0.8750 0.8743 0.4993
0.2500 0.7500 0.5000
0.5000 0.5000 0.0000

***

Q | InAg2Sn, optimized geometry, DFT PBE; SG = Pmc2_1 (26)
1.0
4.7362 0.0000 0.0000
0.0000 5.9382 0.0000
0.0000 0.0000 6.3128
In Ag Sn
2 4 2
direct
0.0000 0.1166 0.0000
0.0000 0.8834 0.5000
0.0000 0.3961 0.3908
0.0000 0.6039 0.8908
0.5000 0.1015 0.3101
0.5000 0.8985 0.8101
0.5000 0.3811 0.7058
0.5000 0.6189 0.2058

***

Relative energies, unit meV per atom: P 147; Q 0

***

P | In3AgSn, optimized geometry, DFT PBE; SG = Fmmm (69)
1.0
0.0000 5.1860 7.9940
3.1559 0.0000 7.9940
3.1559 5.1860 0.0000
In Ag Sn
6 2 2
direct
0.1857 0.6190 0.3810
0.2078 0.2078 0.7922
0.3810 0.8143 0.1857
0.6190 0.1857 0.8143
0.7922 0.7922 0.2078
0.8143 0.3810 0.6190
0.2500 0.2500 0.2500
0.7500 0.7500 0.7500
0.2326 0.7674 0.7674
0.7674 0.2326 0.2326

***

Q | In3AgSn, optimized geometry, DFT PBE; SG = C2/m (12)
1.0
5.3909 -4.5620 0.0000
5.3909 4.5620 0.0000
-3.7103 0.0000 5.4426
In Ag Sn
6 2 2
direct
0.0004 0.4158 0.7200
0.9996 0.5842 0.2800
0.0461 0.0461 0.2724
0.4158 0.0004 0.7200
0.5842 0.9996 0.2800
0.9539 0.9539 0.7276
0.2628 0.2628 0.1236
0.7372 0.7372 0.8764
0.4251 0.4251 0.6824
0.5749 0.5749 0.3176

***

R | In3AgSn, optimized geometry, DFT PBE; SG = Pm-3m (221)
1.0
5.3365 0.0000 0.0000
0.0000 5.3365 0.0000
0.0000 0.0000 5.3365
In Ag Sn
3 1 1
direct
0.0000 0.0000 0.5000
0.0000 0.5000 0.0000
0.5000 0.0000 0.0000
0.0000 0.0000 0.0000
0.5000 0.5000 0.5000

***

Relative energies, unit meV per atom: P 0; Q 5; R 223

***

P | InAg4Sn, optimized geometry, DFT PBE; SG = F-43m (216)
1.0
0.0000 3.9721 3.9721
3.9721 0.0000 3.9721
3.9721 3.9721 0.0000
In Ag Sn
1 4 1
direct
0.0000 0.0000 0.0000
0.1243 0.6252 0.6252
0.6252 0.1243 0.6252
0.6252 0.6252 0.1243
0.6252 0.6252 0.6252
0.2500 0.2500 0.2500

***

Q | InAg4Sn, optimized geometry, DFT PBE; SG = C2/m (12)
1.0
6.8938 -2.9460 0.0000
6.8938 2.9460 0.0000
-3.1051 0.0000 6.4510
In Ag Sn
2 8 2
direct
0.0743 0.0743 0.2366
0.9257 0.9257 0.7634
0.1204 0.6186 0.0595
0.2564 0.7436 0.5000
0.2983 0.2983 0.3240
0.3814 0.8796 0.9405
0.6186 0.1204 0.0595
0.7017 0.7017 0.6760
0.7436 0.2564 0.5000
0.8796 0.3814 0.9405
0.2422 0.2422 0.6810
0.7578 0.7578 0.3190

***

Relative energies, unit meV per atom: P 0; Q 20

***

P | In2Ag7Sn2, optimized geometry, DFT PBE; SG = C2/m (12)
1.0
4.5947 -3.8484 0.0000
4.5947 3.8484 0.0000
-3.3378 0.0000 6.7692
In Ag Sn
2 7 2
direct
0.1576 0.1576 0.3725
0.8424 0.8424 0.6275
0.0416 0.6657 0.3017
0.2724 0.2724 0.0668
0.3343 0.9584 0.6983
0.5000 0.5000 0.5000
0.6657 0.0416 0.3017
0.7276 0.7276 0.9332
0.9584 0.3343 0.6983
0.2723 0.7277 0.0000
0.7277 0.2723 0.0000

***

Q | In2Ag7Sn2, optimized geometry, DFT PBE; SG = C2/m (12)
1.0
2.9420 -5.3338 0.0000
2.9420 5.3338 0.0000
-1.3484 0.0000 7.4843
In Ag Sn
2 7 2
direct
0.2371 0.7629 0.0000
0.7629 0.2371 0.0000
0.0000 0.0000 0.5000
0.0421 0.5916 0.3366
0.1924 0.1924 0.8912
0.4084 0.9579 0.6634
0.5916 0.0421 0.3366
0.8076 0.8076 0.1088
0.9579 0.4084 0.6634
0.3977 0.3977 0.2878
0.6023 0.6023 0.7122

***

Relative energies, unit meV per atom: P 0; Q 16

***

P | TmInAgSn, optimized geometry, DFT PBE; SG = F-43m (216)
1.0
0.0000 3.6407 3.6407
3.6407 0.0000 3.6407
3.6407 3.6407 0.0000
Tm In Ag Sn
1 1 1 1
direct
0.0000 0.0000 0.0000
0.5000 0.5000 0.5000
0.2500 0.2500 0.2500
0.7500 0.7500 0.7500

***

Q | TmInAgSn, optimized geometry, DFT PBE; SG = Pmmm (47)
1.0
4.3895 0.0000 0.0000
0.0000 4.4143 0.0000
0.0000 0.0000 4.7617
Tm In Ag Sn
1 1 1 1
direct
0.0000 0.0000 0.0000
0.0000 0.5000 0.5000
0.5000 0.0000 0.5000
0.5000 0.5000 0.0000

***

Relative energies, unit meV per atom: P 214; Q 0

***

P | SrIn3Ag2, optimized geometry, DFT PBE; SG = Cmcm (63)
1.0
5.4540 -4.8028 0.0000
5.4540 4.8028 0.0000
0.0000 0.0000 5.8764
Sr In Ag
2 6 4
direct
0.1674 0.8326 0.7500
0.8326 0.1674 0.2500
0.0542 0.5934 0.2500
0.4066 0.9458 0.2500
0.4616 0.5384 0.2500
0.5384 0.4616 0.7500
0.5934 0.0542 0.7500
0.9458 0.4066 0.7500
0.2628 0.2628 0.0000
0.2628 0.2628 0.5000
0.7372 0.7372 0.0000
0.7372 0.7372 0.5000

***

Q | SrIn3Ag2, optimized geometry, DFT PBE; SG = C2/m (12)
1.0
9.2436 -2.3007 0.0000
9.2436 2.3007 0.0000
-3.1350 0.0000 10.9325
Sr In Ag
3 9 6
direct
0.0000 0.0000 0.0000
0.1582 0.1582 0.7019
0.8418 0.8418 0.2981
0.0418 0.0418 0.3480
0.2127 0.2127 0.3793
0.3280 0.3280 0.0377
0.3784 0.3784 0.8030
0.5000 0.5000 0.5000
0.6216 0.6216 0.1970
0.6720 0.6720 0.9623
0.7873 0.7873 0.6207
0.9582 0.9582 0.6520
0.1992 0.1992 0.1238
0.3564 0.3564 0.5363
0.4676 0.4676 0.2142
0.5324 0.5324 0.7858
0.6436 0.6436 0.4637
0.8008 0.8008 0.8762

***

Relative energies, unit meV per atom: P 35; Q 0

***

P | Sr2In5Ag4, optimized geometry, DFT PBE; SG = Immm (71)
1.0
-3.0653 4.6305 4.8515
3.0653 -4.6305 4.8515
3.0653 4.6305 -4.8515
Sr In Ag
2 5 4
direct
0.2125 0.2125 0.0000
0.7875 0.7875 0.0000
0.0000 0.5000 0.5000
0.3175 0.2500 0.5676
0.3175 0.7500 0.0675
0.6825 0.2500 0.9325
0.6825 0.7500 0.4324
0.0843 0.7459 0.3383
0.4076 0.7459 0.6617
0.5924 0.2541 0.3383
0.9157 0.2541 0.6617

***

Q | Sr2In5Ag4, optimized geometry, DFT PBE; SG = Fmmm (69)
1.0
0.0000 5.2708 8.8190
3.1344 0.0000 8.8190
3.1344 5.2708 0.0000
Sr In Ag
2 5 4
direct
0.1275 0.1275 0.8725
0.8725 0.8725 0.1275
0.0000 0.0000 0.5000
0.2500 0.2500 0.2500
0.5000 0.5000 0.0000
0.5000 0.5000 0.5000
0.7500 0.7500 0.7500
0.2237 0.5063 0.4937
0.4937 0.7763 0.2237
0.5063 0.2237 0.7763
0.7763 0.4937 0.5063

***

Relative energies, unit meV per atom: P 0; Q 19